Entry 1:
Entry from Alexandria via LeMat-Bulk: a geometry-optimized LiZrSn2Ir structure (PBE).

Values from the calculation:
Size of the total moment: 0.0 Bohr magnetons per cell
Energy of formation from the pure elements: 1.17 eV/f.u.
Calculated volume: 114 Å³/f.u.
ρ: 7.662 g/cm³

Lattice parameters (Å, degrees): 5.0778 5.0778 4.4361 90.00 90.00 90.00
Atoms (fractional coordinates):
1 Li 0.0000 0.0000 0.0000
2 Zr 0.5000 0.5000 0.0000
3 Sn 0.0000 0.5000 0.5000
4 Sn 0.5000 0.0000 0.5000
5 Ir 0.0000 0.0000 0.5000



Entry 2:
Entry from Alexandria via LeMat-Bulk: a geometry-optimized SrLiIr3 structure (PBE).

Values from the calculation:
E above lowest polymorph: 1768 meV/atom
Size of the total moment: 1.9 Bohr magnetons per cell
Energy of formation from the pure elements: 12.04 eV/f.u.
Calculated volume: 129 Å³/f.u.
ρ: 8.649 g/cm³

Lattice parameters (Å, degrees): 5.0510 5.0510 5.0510 90.00 90.00 90.00
Atoms (fractional coordinates):
1 Sr 0.0000 0.0000 0.0000
2 Li 0.5000 0.5000 0.5000
3 Ir 0.0000 0.0000 0.5000
4 Ir 0.0000 0.5000 0.0000
5 Ir 0.5000 0.0000 0.0000



Entry 3:
Entry from Alexandria via LeMat-Bulk: a geometry-optimized SrLiIr structure (PBE).

Values from the calculation:
E above lowest polymorph: 0 meV/atom
Size of the total moment: 0.0 Bohr magnetons per cell
Energy of formation from the pure elements: -0.07 eV/f.u.
Calculated volume: 66 Å³/f.u.
ρ: 7.210 g/cm³

Lattice parameters (Å, degrees): 5.9035 5.2743 8.9652 90.00 108.83 90.00
Atoms (fractional coordinates):
1 Sr 0.1799 0.1133 0.3819
2 Sr 0.1799 0.3867 0.8819
3 Sr 0.8201 0.6133 0.1181
4 Sr 0.8201 0.8867 0.6181
5 Li 0.3043 0.6103 0.5105
6 Li 0.3043 0.8897 0.0105
7 Li 0.6957 0.1103 0.9895
8 Li 0.6957 0.3897 0.4895
9 Ir 0.4286 0.6105 0.2508
10 Ir 0.4286 0.8895 0.7508
11 Ir 0.5714 0.1105 0.2492
12 Ir 0.5714 0.3895 0.7492



Entry 4:
Entry from Alexandria via LeMat-Bulk: a geometry-optimized SrLi2Ir structure (PBE).

Values from the calculation:
E above lowest polymorph: 0 meV/atom
Size of the total moment: 0.0 Bohr magnetons per cell
Energy of formation from the pure elements: -0.15 eV/f.u.
Calculated volume: 86 Å³/f.u.
ρ: 5.652 g/cm³

Lattice parameters (Å, degrees): 4.3966 4.3966 5.7501 112.57 112.57 60.01
Atoms (fractional coordinates):
1 Sr 0.0000 0.0000 0.0000
2 Li 0.5143 0.5143 0.5436
3 Li 0.8103 0.8103 0.4318
4 Ir 0.2036 0.2036 0.6113



Entry 5:
Entry from Alexandria via LeMat-Bulk: a geometry-optimized SrLiIr3 structure (PBE).

Values from the calculation:
E above lowest polymorph: 0 meV/atom
Size of the total moment: 0.0 Bohr magnetons per cell
Energy of formation from the pure elements: 3.20 eV/f.u.
Calculated volume: 85 Å³/f.u.
ρ: 13.084 g/cm³

Lattice parameters (Å, degrees): 4.4001 4.4001 4.4001 90.00 90.00 90.00
Atoms (fractional coordinates):
1 Sr 0.0000 0.0000 0.0000
2 Li 0.5000 0.5000 0.5000
3 Ir 0.0000 0.5000 0.5000
4 Ir 0.5000 0.0000 0.5000
5 Ir 0.5000 0.5000 0.0000



Entry 6:
Entry from Alexandria via LeMat-Bulk: a geometry-optimized Sr6Li2Ir structure (PBE).

Values from the calculation:
Size of the total moment: 0.0 Bohr magnetons per cell
Energy of formation from the pure elements: -0.72 eV/f.u.
Calculated volume: 382 Å³/f.u.
ρ: 3.182 g/cm³

Lattice parameters (Å, degrees): 7.5366 8.8669 13.6838 90.00 123.34 90.00
Atoms (fractional coordinates):
1 Sr 0.1234 0.1687 0.4507
2 Sr 0.1234 0.3313 0.9507
3 Sr 0.2947 0.7019 0.4487
4 Sr 0.2947 0.7981 0.9487
5 Sr 0.3706 0.0255 0.2554
6 Sr 0.3706 0.4745 0.7554
7 Sr 0.6294 0.5255 0.2446
8 Sr 0.6294 0.9745 0.7446
9 Sr 0.7053 0.2019 0.0513
10 Sr 0.7053 0.2981 0.5513
11 Sr 0.8766 0.6687 0.0493
12 Sr 0.8766 0.8313 0.5493
13 Li 0.1872 0.1063 0.7581
14 Li 0.1872 0.3937 0.2581
15 Li 0.8128 0.6063 0.7419
16 Li 0.8128 0.8937 0.2419
17 Ir 0.5000 0.0000 0.5000
18 Ir 0.5000 0.5000 0.0000



Question: Number 2 is which compound?
Answer: SrLiIr3



Question: The highest energy of formation from the pure elements belongs to which entry?
Answer: number 2